# TaMn2O5 | the Alexandria database | GGA+U | relaxed
# Fermi-level density of states: 9.55 states/eV/cell
# ρ: 5817 kg/m3
# electronic total energy: -8.597 eV per atom
data_TaMn2O5
_chemical_formula_sum 'Ta4 Mn8 O20'
_space_group_name_H-M_alt 'C m c m'
_space_group_IT_number 63
_space_group_name_Hall '-C 2c 2'
_cell_length_a 3.857
_cell_length_b 10.354
_cell_length_c 10.602
_cell_angle_alpha 90.00
_cell_angle_beta 90.00
_cell_angle_gamma 90.00
loop_
_atom_site_label
_atom_site_type_symbol
_atom_site_fract_x
_atom_site_fract_y
_atom_site_fract_z
_atom_site_occupancy
Ta1 Ta 0.000 0.165 0.250 1
Mn1 Mn 0.000 0.144 0.555 1
O1 O 0.000 0.035 0.123 1
O2 O 0.000 0.285 0.750 1
O3 O 0.000 0.291 0.085 1